(1)
An optimized crystal structure of KCo3Te, computed with GGA-PBEsol.

a = 4.4391 Å, b = 4.4391 Å, c = 4.4391 Å
α = 90.00°, β = 90.00°, γ = 90.00°
Closest atoms and distances in Å follow each position.
Atoms (fractional coordinates):
K (0.0000, 0.0000, 0.0000)  6 Co 2.22
Co (0.0000, 0.0000, 0.5000)  2 K 2.22
Co (0.0000, 0.5000, 0.0000)  2 K 2.22
Co (0.5000, 0.0000, 0.0000)  2 K 2.22
Te (0.5000, 0.5000, 0.5000)  12 Co 3.14

Output
N(E_F): 10.6 states/eV/f.u.

---

(2)
An optimized crystal structure of YTaB3, computed with GGA-PBEsol.

a = 4.1314 Å, b = 4.1314 Å, c = 4.1314 Å
α = 90.00°, β = 90.00°, γ = 90.00°
Closest atoms and distances in Å follow each position.
Atoms (fractional coordinates):
Y (0.0000, 0.0000, 0.0000)  6 B 2.07
Ta (0.5000, 0.5000, 0.5000)  12 B 2.92
B (0.0000, 0.0000, 0.5000)  2 Y 2.07
B (0.0000, 0.5000, 0.0000)  2 Y 2.07
B (0.5000, 0.0000, 0.0000)  2 Y 2.07

Output
N(E_F): 2.0 states/eV/f.u.

---

(3)
An optimized crystal structure of TcMo3, computed with GGA-PBEsol.

a = 4.9481 Å, b = 4.9481 Å, c = 4.9481 Å
α = 90.00°, β = 90.00°, γ = 90.00°
Closest atoms and distances in Å follow each position.
Atoms (fractional coordinates):
Tc (0.0000, 0.0000, 0.0000)  12 Mo 2.77
Tc (0.5000, 0.5000, 0.5000)  12 Mo 2.77
Mo (0.0000, 0.2500, 0.5000)  2 Mo 2.47, 4 Tc 2.77
Mo (0.0000, 0.7500, 0.5000)  2 Mo 2.47, 4 Tc 2.77
Mo (0.2500, 0.5000, 0.0000)  2 Mo 2.47, 4 Tc 2.77
Mo (0.5000, 0.0000, 0.2500)  2 Mo 2.47, 4 Tc 2.77
Mo (0.5000, 0.0000, 0.7500)  2 Mo 2.47, 4 Tc 2.77
Mo (0.7500, 0.5000, 0.0000)  2 Mo 2.47, 4 Tc 2.77

Output
N(E_F): 3.1 states/eV/f.u.
Excess energy over the best structure of this formula in the dataset: 0 meV per atom

---

The evaluated DFT total energy for the records listed, in turn: -3.366, -5.956, -11.608 eV/atom.